## Te3WO9 (PBE with a Hubbard U)

Data for an optimized crystal structure of Te3WO9.

Geometry as POSCAR:
```
Te3WO9
1.0
7.785 -3.277 0.000
7.785 3.277 0.000
-3.921 0.000 8.772
Te W O
6 2 18
Direct
0.006 0.994 0.500 Te
0.428 0.553 0.749 Te
0.553 0.428 0.249 Te
0.664 0.869 0.750 Te
0.869 0.664 0.250 Te
0.994 0.006 0.000 Te
0.376 0.990 0.378 W
0.990 0.376 0.878 W
0.105 0.152 0.709 O
0.152 0.105 0.209 O
0.235 0.678 0.569 O
0.240 0.287 0.008 O
0.258 0.896 0.440 O
0.278 0.812 0.900 O
0.287 0.240 0.508 O
0.561 0.647 0.247 O
0.592 0.955 0.306 O
0.647 0.561 0.747 O
0.660 0.795 0.539 O
0.678 0.235 0.069 O
0.795 0.660 0.039 O
0.805 0.992 0.789 O
0.812 0.278 0.400 O
0.896 0.258 0.940 O
0.955 0.592 0.806 O
0.992 0.805 0.289 O
```

Values from the calculation:
- Total energy: -5.9760 eV per atom
- Total magnetization: 0.0 μB/f.u.
- D(E_F): 0.00 states/eV/f.u.
- Symmetry: Cc